No. 1
4
Lattice="-1.1074 -4.4861 2.1847 1.3705 -0.8917 4.8427 -3.5603 -0.2511 3.6587" Properties=species:S:1:pos:R:3 comment="Cd2HgSb, relaxed, DFT GGA-PBEsol" sg="Fm-3m (225)" dos_ef_per_ev_cell=1.48 e_form_raw_ev_per_atom=0.0706 pbc="T T T"
Cd -0.8243 -1.4072 2.6715
Cd -2.4729 -4.2217 8.0146
Hg 0.0000 0.0000 0.0000
Sb -1.6486 -2.8145 5.3430

---

No. 2
4
Lattice="4.8613 0.0000 0.0000 2.4307 4.2100 0.0000 2.4307 1.4033 3.9693" Properties=species:S:1:pos:R:3 comment="ScCdHg2, relaxed, DFT GGA-PBEsol" sg="F-43m (216)" dos_ef_per_ev_cell=1.48 formation_enthalpy_0k_ev_per_atom=-0.26 pbc="T T T"
Cd 4.8613 2.8067 1.9846
Hg 7.2920 4.2100 2.9769
Hg 0.0000 0.0000 0.0000
Sc 2.4307 1.4033 0.9923

---

Total moment across the listed records, respectively: 0.00 0.00 μB/atom.